[1]
{"formula": "Y2TlSi", "functional": "GGA-PBEsol", "state": "relaxed", "lattice": [[-0.569, 4.964, -1.086], [-0.683, 1.496, -4.841], [-4.549, 1.782, -1.507]], "species": ["Tl", "Y", "Si", "Y"], "frac_coords": [[0.500, 0.500, 0.500], [0.750, 0.750, 0.750], [0.000, 0.000, 0.000], [0.250, 0.250, 0.250]], "e_form_raw_mev_per_atom": -434, "e_tot_ev_per_atom": -5.94}

---

[2]
{"formula": "Y3TlSi", "functional": "GGA-PBEsol", "state": "relaxed", "lattice": [[5.527, 0.000, 0.000], [0.000, 5.527, 0.000], [0.000, 0.000, 5.527]], "species": ["Si", "Y", "Y", "Tl", "Y"], "frac_coords": [[0.500, 0.500, 0.500], [0.500, 0.000, 0.000], [0.000, 0.500, 0.000], [0.000, 0.000, 0.000], [0.000, 0.000, 0.500]], "e_form_raw_mev_per_atom": 441, "e_tot_ev_per_atom": -5.33}

---

[3]
{"formula": "TlZn2Si", "functional": "GGA-PBEsol", "state": "relaxed", "lattice": [[3.074, 0.241, 0.000], [-0.243, 3.074, 0.000], [0.000, 0.000, 7.701]], "species": ["Tl", "Zn", "Si", "Zn"], "frac_coords": [[0.500, 0.500, 0.000], [0.000, 0.000, 0.701], [0.500, 0.500, 0.500], [0.000, 0.000, 0.299]], "e_form_raw_mev_per_atom": 287, "e_tot_ev_per_atom": -2.60}

---

[4]
{"formula": "Tl2ZnSi2", "functional": "GGA-PBEsol", "state": "relaxed", "lattice": [[3.451, 0.000, 0.000], [0.000, 3.451, 0.000], [-1.725, -1.725, 8.963]], "species": ["Tl", "Tl", "Si", "Si", "Zn"], "frac_coords": [[0.604, 0.604, 0.208], [0.396, 0.396, 0.792], [0.250, 0.750, 0.500], [0.750, 0.250, 0.500], [0.000, 0.000, 0.000]], "e_form_raw_mev_per_atom": 280, "e_tot_ev_per_atom": -3.39}

---

[5]
{"formula": "ZrTl2Si", "functional": "GGA-PBEsol", "state": "relaxed", "lattice": [[3.569, 0.000, 0.000], [0.000, 3.847, 0.000], [-1.784, -1.923, 7.166]], "species": ["Tl", "Zr", "Tl", "Si"], "frac_coords": [[0.181, 0.181, 0.363], [0.500, 0.000, 0.000], [0.819, 0.819, 0.637], [0.000, 0.500, 0.000]], "polymorph_energy_ev_per_atom": 0.0000, "e_form_raw_mev_per_atom": -17, "e_tot_ev_per_atom": -5.04}

---

[6]
{"formula": "ZrTl2Si", "functional": "GGA-PBEsol", "state": "relaxed", "lattice": [[-3.295, -0.445, -1.086], [1.397, -1.793, -3.502], [-0.157, -5.246, 2.624]], "species": ["Tl", "Zr", "Tl", "Si"], "frac_coords": [[0.000, 0.000, 0.253], [0.500, 0.500, 0.000], [0.000, 0.000, 0.747], [0.500, 0.500, 0.500]], "polymorph_energy_ev_per_atom": 0.1889, "e_form_raw_mev_per_atom": 172, "e_tot_ev_per_atom": -4.85}

---

[7]
{"formula": "ZrTl2Si", "functional": "GGA-PBEsol", "state": "relaxed", "lattice": [[-3.139, 0.765, -0.572], [-1.259, -1.622, 4.739], [0.821, 4.754, 1.845]], "species": ["Si", "Tl", "Zr", "Tl"], "frac_coords": [[0.500, 0.000, 0.000], [0.000, 0.500, 0.000], [0.500, 0.500, 0.500], [0.000, 0.000, 0.500]], "polymorph_energy_ev_per_atom": 0.2695, "e_form_raw_mev_per_atom": 253, "e_tot_ev_per_atom": -4.77}

---

[8]
{"formula": "ZrTl2Si", "functional": "GGA-PBEsol", "state": "relaxed", "lattice": [[3.302, 0.000, 0.000], [1.651, 2.859, 0.000], [1.651, 0.953, 9.464]], "species": ["Tl", "Si", "Tl", "Zr"], "frac_coords": [[0.993, 0.993, 0.020], [0.245, 0.245, 0.265], [0.754, 0.754, 0.738], [0.508, 0.508, 0.477]], "polymorph_energy_ev_per_atom": 0.0971, "e_form_raw_mev_per_atom": 80, "e_tot_ev_per_atom": -4.94}

---

[9]
{"formula": "ZrTl2Si", "functional": "GGA-PBEsol", "state": "relaxed", "lattice": [[3.313, 0.000, 0.000], [1.657, 2.869, 0.000], [1.657, 0.956, 9.216]], "species": ["Zr", "Tl", "Tl", "Si"], "frac_coords": [[0.500, 0.500, 0.500], [0.255, 0.255, 0.236], [0.745, 0.745, 0.764], [0.000, 0.000, 0.000]], "polymorph_energy_ev_per_atom": 0.2705, "e_form_raw_mev_per_atom": 254, "e_tot_ev_per_atom": -4.77}

---

[10]
{"formula": "Tm5Si3", "functional": "GGA-PBEsol", "state": "relaxed", "lattice": [[6.139, 0.000, 0.000], [0.000, 8.226, 0.000], [0.000, -4.113, 7.124]], "species": ["Si", "Tm", "Si", "Si", "Si", "Tm", "Tm", "Tm", "Tm", "Tm", "Tm", "Si", "Tm", "Tm", "Si", "Tm"], "frac_coords": [[0.250, 0.000, 0.395], [0.750, 0.758, 0.758], [0.750, 0.605, 0.000], [0.250, 0.395, 0.000], [0.250, 0.605, 0.605], [0.500, 0.333, 0.667], [0.000, 0.667, 0.333], [0.000, 0.333, 0.667], [0.250, 0.242, 0.242], [0.250, 0.758, 0.000], [0.750, 0.000, 0.242], [0.750, 0.395, 0.395], [0.250, 0.000, 0.758], [0.500, 0.667, 0.333], [0.750, 0.000, 0.605], [0.750, 0.242, 0.000]], "e_form_raw_mev_per_atom": -746, "e_tot_ev_per_atom": -5.96}

---

[11]
{"formula": "U3Si2", "functional": "GGA-PBEsol", "state": "relaxed", "lattice": [[7.043, 0.000, 0.000], [0.000, 7.043, 0.000], [0.000, 0.000, 3.816]], "species": ["U", "U", "Si", "U", "Si", "U", "U", "Si", "Si", "U"], "frac_coords": [[0.314, 0.814, 0.500], [0.814, 0.686, 0.500], [0.116, 0.616, 0.000], [0.000, 0.000, 0.000], [0.884, 0.384, 0.000], [0.686, 0.186, 0.500], [0.186, 0.314, 0.500], [0.384, 0.116, 0.000], [0.616, 0.884, 0.000], [0.500, 0.500, 0.000]], "e_form_raw_mev_per_atom": -100, "e_tot_ev_per_atom": -9.69}

---

[12]
{"formula": "V3Si", "functional": "GGA-PBEsol", "state": "relaxed", "lattice": [[4.649, 0.000, 0.000], [0.000, 4.649, 0.000], [0.000, 0.000, 4.649]], "species": ["V", "V", "V", "V", "Si", "V", "V", "Si"], "frac_coords": [[0.500, 0.250, 0.000], [0.250, 0.000, 0.500], [0.750, 0.000, 0.500], [0.000, 0.500, 0.750], [0.000, 0.000, 0.000], [0.500, 0.750, 0.000], [0.000, 0.500, 0.250], [0.500, 0.500, 0.500]], "e_form_raw_mev_per_atom": -512, "e_tot_ev_per_atom": -9.17}

---

[13]
{"formula": "V5Si3", "functional": "GGA-PBEsol", "state": "relaxed", "lattice": [[4.781, 0.000, 0.000], [0.000, 7.050, 0.000], [0.000, -3.525, 6.105]], "species": ["Si", "Si", "V", "V", "V", "V", "Si", "V", "V", "V", "V", "Si", "Si", "V", "Si", "V"], "frac_coords": [[0.250, 0.396, 0.000], [0.750, 0.604, 0.000], [0.750, 0.244, 0.000], [0.250, 0.000, 0.756], [0.750, 0.000, 0.244], [0.500, 0.333, 0.667], [0.750, 0.000, 0.604], [0.250, 0.244, 0.244], [0.000, 0.667, 0.333], [0.500, 0.667, 0.333], [0.750, 0.756, 0.756], [0.250, 0.604, 0.604], [0.250, 0.000, 0.396], [0.250, 0.756, 0.000], [0.750, 0.396, 0.396], [0.000, 0.333, 0.667]], "polymorph_energy_ev_per_atom": 0.0126, "e_form_raw_mev_per_atom": -584, "e_tot_ev_per_atom": -8.76}

---

[14]
{"formula": "V5Si3", "functional": "GGA-PBEsol", "state": "relaxed", "lattice": [[6.133, 0.000, 0.000], [-3.066, 6.265, 0.006], [0.000, 2.997, 5.350]], "species": ["Si", "V", "V", "Si", "Si", "V", "Si", "V", "V", "V", "V", "V", "Si", "V", "V", "Si"], "frac_coords": [[0.633, 0.000, 0.133], [0.000, 0.000, 0.000], [0.513, 0.696, 0.987], [0.133, 0.000, 0.367], [0.867, 0.000, 0.633], [0.500, 0.000, 0.500], [0.250, 0.500, 0.750], [0.183, 0.696, 0.317], [0.817, 0.304, 0.683], [0.987, 0.304, 0.183], [0.317, 0.304, 0.513], [0.013, 0.696, 0.817], [0.750, 0.500, 0.250], [0.487, 0.304, 0.013], [0.683, 0.696, 0.487], [0.367, 0.000, 0.867]], "polymorph_energy_ev_per_atom": 0.0000, "e_form_raw_mev_per_atom": -597, "e_tot_ev_per_atom": -8.77}

---

[15]
{"formula": "Zr2V3Si", "functional": "GGA-PBEsol", "state": "relaxed", "lattice": [[-0.955, -1.412, -4.739], [2.319, -3.169, 3.153], [-7.620, -3.122, 2.466]], "species": ["V", "Zr", "V", "Si", "Si", "V", "V", "V", "Zr", "V", "Zr", "Zr"], "frac_coords": [[0.827, 0.173, 0.250], [0.333, 0.667, 0.060], [0.345, 0.173, 0.250], [0.000, 0.000, 0.000], [0.000, 0.000, 0.500], [0.173, 0.827, 0.750], [0.827, 0.655, 0.250], [0.173, 0.345, 0.750], [0.667, 0.333, 0.560], [0.655, 0.827, 0.750], [0.667, 0.333, 0.940], [0.333, 0.667, 0.440]], "e_form_raw_mev_per_atom": -321, "e_tot_ev_per_atom": -9.13}

---

[16]
{"formula": "ZrVSi", "functional": "GGA-PBEsol", "state": "relaxed", "lattice": [[-1.146, -1.847, 2.926], [0.667, -3.143, -1.723], [6.686, -0.011, 2.612]], "species": ["Zr", "V", "V", "Zr", "Si", "Si"], "frac_coords": [[0.500, 0.000, 0.641], [0.000, 0.000, 0.000], [0.500, 0.500, 0.000], [0.000, 0.500, 0.359], [0.000, 0.500, 0.754], [0.500, 0.000, 0.246]], "e_form_raw_mev_per_atom": -804, "e_tot_ev_per_atom": -8.96}

---

[17]
{"formula": "Si2W", "functional": "GGA-PBEsol", "state": "relaxed", "lattice": [[4.127, 0.000, 0.000], [2.064, 3.574, 0.000], [2.064, 1.191, 3.370]], "species": ["Si", "W", "Si"], "frac_coords": [[0.250, 0.250, 0.250], [0.000, 0.000, 0.000], [0.750, 0.750, 0.750]], "polymorph_energy_ev_per_atom": 0.9179, "e_form_raw_mev_per_atom": 472, "e_tot_ev_per_atom": -7.96}

---

[18]
{"formula": "SiW", "functional": "GGA-PBEsol", "state": "relaxed", "lattice": [[-4.099, 1.494, -0.425], [0.851, -3.321, 2.733], [1.231, 4.991, 5.681]], "species": ["Si", "Si", "W", "W", "W", "Si", "Si", "W"], "frac_coords": [[0.333, 0.667, 0.416], [0.667, 0.333, 0.916], [0.667, 0.333, 0.250], [0.000, 0.000, 0.750], [0.000, 0.000, 0.250], [0.667, 0.333, 0.584], [0.333, 0.667, 0.084], [0.333, 0.667, 0.750]], "e_form_raw_mev_per_atom": 560, "e_tot_ev_per_atom": -9.22}

---

[19]
{"formula": "Si2W", "functional": "GGA-PBEsol", "state": "relaxed", "lattice": [[3.202, 0.000, 0.000], [0.000, 3.202, 0.000], [-1.601, -1.601, 3.907]], "species": ["Si", "W", "Si"], "frac_coords": [[0.165, 0.165, 0.331], [0.500, 0.500, 0.000], [0.835, 0.835, 0.669]], "polymorph_energy_ev_per_atom": 0.0000, "e_form_raw_mev_per_atom": -446, "e_tot_ev_per_atom": -8.88}

---

[20]
{"formula": "SiW", "functional": "GGA-PBEsol", "state": "relaxed", "lattice": [[3.112, 0.000, 0.000], [-1.556, 2.695, 0.000], [0.000, 0.000, 3.495]], "species": ["Si", "W"], "frac_coords": [[0.000, 0.000, 0.000], [0.333, 0.667, 0.500]], "e_form_raw_mev_per_atom": -136, "e_tot_ev_per_atom": -9.91}

---

[21]
{"formula": "Si2W", "functional": "GGA-PBEsol", "state": "relaxed", "lattice": [[4.934, -0.010, 0.000], [-2.258, 4.386, 0.000], [-1.338, -2.188, 4.214]], "species": ["Si", "Si", "W", "Si", "W", "Si"], "frac_coords": [[0.141, 0.359, 0.500], [0.641, 0.141, 0.782], [0.250, 0.250, 0.000], [0.359, 0.859, 0.218], [0.750, 0.750, 0.000], [0.859, 0.641, 0.500]], "polymorph_energy_ev_per_atom": 0.3693, "e_form_raw_mev_per_atom": -77, "e_tot_ev_per_atom": -8.51}

---

[22]
{"formula": "Si2W", "functional": "GGA-PBEsol", "state": "relaxed", "lattice": [[4.575, 0.000, 0.000], [-2.287, 3.962, 0.000], [0.000, 0.000, 6.603]], "species": ["Si", "W", "W", "W", "Si", "Si", "Si", "Si", "Si"], "frac_coords": [[0.836, 0.164, 0.500], [0.000, 0.500, 0.833], [0.500, 0.000, 0.167], [0.500, 0.500, 0.500], [0.164, 0.836, 0.500], [0.164, 0.328, 0.167], [0.672, 0.836, 0.833], [0.836, 0.672, 0.167], [0.328, 0.164, 0.833]], "polymorph_energy_ev_per_atom": 0.0670, "e_form_raw_mev_per_atom": -379, "e_tot_ev_per_atom": -8.81}

---

[23]
{"formula": "SiW", "functional": "GGA-PBEsol", "state": "relaxed", "lattice": [[3.241, 0.000, 0.000], [-1.621, 4.436, -0.007], [0.000, -1.351, 5.954]], "species": ["Si", "W", "Si", "W", "Si", "W"], "frac_coords": [[0.956, 0.911, 0.950], [0.329, 0.658, 0.639], [0.684, 0.368, 0.354], [0.981, 0.962, 0.370], [0.626, 0.253, 0.759], [0.257, 0.514, 0.095]], "e_form_raw_mev_per_atom": -226, "e_tot_ev_per_atom": -10.00}

---

[24]
{"formula": "Si4W3", "functional": "GGA-PBEsol", "state": "relaxed", "lattice": [[3.171, 0.000, 0.000], [0.000, 3.171, 0.000], [-1.586, -1.586, 9.506]], "species": ["W", "W", "Si", "Si", "Si", "W", "Si"], "frac_coords": [[0.295, 0.295, 0.590], [0.705, 0.705, 0.410], [0.431, 0.431, 0.862], [0.141, 0.141, 0.281], [0.569, 0.569, 0.138], [0.000, 0.000, 0.000], [0.859, 0.859, 0.719]], "e_form_raw_mev_per_atom": -391, "e_tot_ev_per_atom": -9.59}

---

[25]
{"formula": "SiW", "functional": "GGA-PBEsol", "state": "relaxed", "lattice": [[-2.987, 1.390, 0.783], [-1.587, -2.409, -1.773], [-0.263, -2.973, 4.275]], "species": ["Si", "Si", "W", "W"], "frac_coords": [[0.500, 0.500, 0.000], [0.000, 0.000, 0.000], [0.000, 0.500, 0.632], [0.500, 0.000, 0.368]], "e_form_raw_mev_per_atom": 73, "e_tot_ev_per_atom": -9.70}

---

[26]
{"formula": "SiW", "functional": "GGA-PBEsol", "state": "relaxed", "lattice": [[-2.263, 1.704, 1.394], [-0.571, -2.385, 1.988], [3.762, 2.074, 3.570]], "species": ["W", "Si", "W", "Si"], "frac_coords": [[0.000, 0.500, 0.650], [0.000, 0.500, 0.125], [0.500, 0.000, 0.350], [0.500, 0.000, 0.875]], "e_form_raw_mev_per_atom": -338, "e_tot_ev_per_atom": -10.12}